# MnBi2F11 | the Alexandria database | PBE+U | optimized geometry
# **ρ**: 5.07 Mg/m³
# **D(E_F)**: 0.2246 states/eV per atom
# **Final energy**: -4.70 eV/atom
# **Magnetization**: 13.07 Bohr magnetons per cell
data_MnBi2F11
_chemical_formula_sum 'Mn4 Bi8 F44'
_symmetry_space_group_name_H-M 'C 1 2/c 1'
_symmetry_Int_Tables_number 15
_cell_length_a 13.7453
_cell_length_b 8.6217
_cell_length_c 10.1455
_cell_angle_alpha 90.00
_cell_angle_beta 132.07
_cell_angle_gamma 90.00
loop_
_symmetry_equiv_pos_as_xyz
'x,y,z'
'-x,-y,-z'
'-x,y,-z+1/2'
'x,-y,z+1/2'
'x+1/2,y+1/2,z'
'-x+1/2,-y+1/2,-z'
'-x+1/2,y+1/2,-z+1/2'
'x+1/2,-y+1/2,z+1/2'
loop_
_atom_site_label
_atom_site_fract_x
_atom_site_fract_y
_atom_site_fract_z
_atom_site_occupancy
Mn1 0.0000 0.1101 0.2500 1
Bi1 0.2058 0.4152 0.1886 1
F1 0.0000 0.5000 0.0000 1
F2 0.0799 0.2662 0.2265 1
F3 0.0830 0.0392 0.7203 1
F4 0.1404 0.1099 0.4925 1
F5 0.1625 0.4007 0.9510 1
F6 0.2318 0.3345 0.7594 1